[1]
A plane-wave DFT calculation with PBE-GGA was carried out for a relaxed structure of CaIrIO2.

The theoretical density is 6.98 g cm⁻³. As for the density of states at the Fermi level: 0.768 states/eV/atom. The value obtained for the raw formation energy is -52.0 kJ per mole of atoms. As for the magnetic moment: 0.0 Bohr magnetons per cell. As for the space-group type: P4/mmm (123).

Lattice parameters (Å, degrees): 4.118 4.118 5.488 90.00 90.00 90.00
Fractional positions:
O 0.500 0.000 0.000
Ir 0.000 0.000 0.000
Ca 0.500 0.500 0.500
I 0.000 0.000 0.500
O 0.000 0.500 0.000


[2]
A plane-wave DFT calculation with PBE-GGA was carried out for a relaxed structure of Tb2Cd16Sn.

The theoretical density is 8.36 g cm⁻³. As for the density of states at the Fermi level: 0.365 states/eV/atom. As for the magnetic moment: 0.0 Bohr magnetons per cell. As for the space-group type: R3m (160). The energy of formation is -1.99 eV/f.u.

Lattice parameters (Å, degrees): 7.675 7.675 7.675 83.58 83.58 83.58
Fractional positions:
Cd 0.661 0.134 0.661
Cd 0.997 0.318 0.686
Cd 0.318 0.686 0.997
Cd 0.466 0.027 0.027
Cd 0.027 0.027 0.466
Sn 0.895 0.895 0.895
Cd 0.686 0.997 0.318
Cd 0.781 0.372 0.372
Cd 0.027 0.466 0.027
Cd 0.997 0.686 0.318
Cd 0.372 0.781 0.372
Cd 0.661 0.661 0.134
Cd 0.091 0.091 0.091
Cd 0.134 0.661 0.661
Tb 0.332 0.332 0.332
Cd 0.372 0.372 0.781
Tb 0.675 0.675 0.675
Cd 0.686 0.318 0.997
Cd 0.318 0.997 0.686


[3]
A plane-wave DFT calculation with PBE-GGA was carried out for a relaxed structure of ZrSn2Pd.

The theoretical density is 7.87 g cm⁻³. As for the density of states at the Fermi level: 0.886 states/eV/atom. As for the magnetic moment: 0.0 Bohr magnetons per cell. As for the space-group type: R-3m (166). The energy of formation is -0.30 eV/f.u.

Lattice parameters (Å, degrees): 3.237 3.237 10.287 80.95 80.95 60.00
Fractional positions:
Pd 0.500 0.500 0.500
Zr 0.000 0.000 0.000
Sn 0.903 0.903 0.292
Sn 0.097 0.097 0.708


[4]
A plane-wave DFT calculation with PBE-GGA was carried out for a relaxed structure of Tb2Cd2Ru.

The theoretical density is 9.20 g cm⁻³. As for the density of states at the Fermi level: 0.514 states/eV/atom. As for the magnetic moment: 0.0 Bohr magnetons per cell. As for the space-group type: I4/mmm (139). The energy of formation is -1.69 eV/f.u.

Lattice parameters (Å, degrees): 3.430 3.430 10.170 99.71 99.71 90.00
Fractional positions:
Cd 0.203 0.203 0.407
Tb 0.584 0.584 0.169
Ru 0.000 0.000 0.000
Cd 0.797 0.797 0.593
Tb 0.416 0.416 0.831


[5]
A plane-wave DFT calculation with PBE-GGA was carried out for a relaxed structure of Dy3Tm4Mg.

The theoretical density is 8.25 g cm⁻³. As for the density of states at the Fermi level: 1.380 states/eV/atom. As for the magnetic moment: 0.0 Bohr magnetons per cell. As for the space-group type: Pmn2_1 (31). The energy of formation is 0.00 eV/f.u.

Lattice parameters (Å, degrees): 6.114 7.032 11.119 90.00 90.00 90.00
Fractional positions:
Dy 0.479 0.377 0.745
Tm 0.986 0.125 0.754
Dy 0.479 0.377 0.255
Dy 0.979 0.623 0.755
Tm 0.659 0.122 0.500
Tm 0.486 0.875 0.254
Mg 0.146 0.374 0.000
Tm 0.986 0.125 0.246
Dy 0.137 0.372 0.500
Tm 0.486 0.875 0.746
Tm 0.643 0.124 0.000
Dy 0.637 0.628 0.000
Mg 0.646 0.626 0.500
Tm 0.143 0.876 0.500
Tm 0.159 0.878 0.000
Dy 0.979 0.623 0.245


[6]
A plane-wave DFT calculation with PBE-GGA was carried out for a relaxed structure of Y3Sn3Ir.

The theoretical density is 7.66 g cm⁻³. As for the density of states at the Fermi level: 0.736 states/eV/atom. As for the magnetic moment: 0.0 Bohr magnetons per cell. As for the space-group type: C2/m (12). The energy of formation is -5.46 eV/f.u.

Lattice parameters (Å, degrees): 4.495 5.993 14.349 84.34 80.99 67.97
Fractional positions:
Sn 0.874 0.176 0.077
Sn 0.982 0.804 0.233
Ir 0.756 0.108 0.381
Y 0.736 0.770 0.758
Sn 0.852 0.763 0.533
Y 0.481 0.658 0.380
Sn 0.126 0.824 0.923
Y 0.599 0.724 0.077
Sn 0.148 0.237 0.467
Y 0.264 0.230 0.242
Y 0.519 0.342 0.620
Ir 0.244 0.892 0.619
Y 0.401 0.276 0.923
Sn 0.018 0.196 0.767